# 1
Material: HfSiTc2C
Method: DFT, PBE-GGA
State: relaxed

Geometry as CIF:
```
data_HfSiTc2C
_cell_length_a 4.8406
_cell_length_b 4.8406
_cell_length_c 4.9454
_cell_angle_alpha 90.00
_cell_angle_beta 90.00
_cell_angle_gamma 90.00
_symmetry_space_group_name_H-M 'P 4/m m m'
_symmetry_Int_Tables_number 123
_symmetry_space_group_name_Hall '-P 4 2'
loop_
_atom_site_label
_atom_site_type_symbol
_atom_site_fract_x
_atom_site_fract_y
_atom_site_fract_z
Hf1 Hf 0.0000 0.0000 0.0000
Si1 Si 0.0000 0.0000 0.5000
Tc1 Tc 0.0000 0.5000 0.0000
C1 C 0.5000 0.5000 0.5000
```

energy relative to the elements, uncorrected: 2.90 eV/atom



# 2
Material: CuRe2Os
Method: DFT, PBE-GGA
State: relaxed

Geometry as CIF:
```
data_CuRe2Os
_cell_length_a 7.0956
_cell_length_b 7.0956
_cell_length_c 5.1434
_cell_angle_alpha 90.00
_cell_angle_beta 90.00
_cell_angle_gamma 90.00
_symmetry_space_group_name_H-M 'I -4 2 d'
_symmetry_Int_Tables_number 122
_symmetry_space_group_name_Hall 'I -4 2bw'
loop_
_atom_site_label
_atom_site_type_symbol
_atom_site_fract_x
_atom_site_fract_y
_atom_site_fract_z
Cu1 Cu 0.0000 0.0000 0.0000
Re1 Re 0.2228 0.2500 0.6250
Os1 Os 0.0000 0.0000 0.5000
```

DFT formation energy: 978 meV/atom
excess energy over the best structure of this formula in the dataset: 781.1 meV/atom



# 3
Material: Ce4Te2PbSe
Method: DFT, PBE-GGA
State: relaxed

Geometry as CIF:
```
data_Ce4Te2PbSe
_cell_length_a 7.6966
_cell_length_b 4.4666
_cell_length_c 7.6969
_cell_angle_alpha 90.00
_cell_angle_beta 109.71
_cell_angle_gamma 90.00
_symmetry_space_group_name_H-M 'P 1 2/m 1'
_symmetry_Int_Tables_number 10
loop_
_symmetry_equiv_pos_as_xyz
'x,y,z'
'-x,-y,-z'
'-x,y,-z'
'x,-y,z'
loop_
_atom_site_label
_atom_site_type_symbol
_atom_site_fract_x
_atom_site_fract_y
_atom_site_fract_z
Ce1 Ce 0.2356 0.0000 0.2351
Ce2 Ce 0.2441 0.5000 0.7584
Te1 Te 0.5000 0.0000 0.0000
Te2 Te 0.5000 0.5000 0.5000
Pb1 Pb 0.0000 0.0000 0.5000
Se1 Se 0.0000 0.5000 0.0000
```

energy relative to the elements, uncorrected: -1.22 eV/atom



# 4
Material: YRe2Si
Method: DFT, PBE-GGA
State: relaxed

Geometry as CIF:
```
data_YRe2Si
_cell_length_a 3.1735
_cell_length_b 4.3612
_cell_length_c 5.2480
_cell_angle_alpha 90.00
_cell_angle_beta 103.52
_cell_angle_gamma 90.00
_symmetry_space_group_name_H-M 'P 1 m 1'
_symmetry_Int_Tables_number 6
loop_
_symmetry_equiv_pos_as_xyz
'x,y,z'
'x,-y,z'
loop_
_atom_site_label
_atom_site_type_symbol
_atom_site_fract_x
_atom_site_fract_y
_atom_site_fract_z
Y1 Y 0.0000 0.0000 0.0000
Re1 Re 0.4018 0.0000 0.5130
Re2 Re 0.7412 0.5000 0.3831
Si1 Si 0.4112 0.5000 0.7799
```

energy relative to the elements, uncorrected: 0.01 eV/atom



# 5
Material: TbSm2Y
Method: DFT, PBE-GGA
State: relaxed

Geometry as CIF:
```
data_TbSm2Y
_cell_length_a 5.0926
_cell_length_b 5.0926
_cell_length_c 5.0742
_cell_angle_alpha 90.00
_cell_angle_beta 90.00
_cell_angle_gamma 90.00
_symmetry_space_group_name_H-M 'P 4/m m m'
_symmetry_Int_Tables_number 123
_symmetry_space_group_name_Hall '-P 4 2'
loop_
_atom_site_label
_atom_site_type_symbol
_atom_site_fract_x
_atom_site_fract_y
_atom_site_fract_z
Tb1 Tb 0.0000 0.0000 0.0000
Sm1 Sm 0.0000 0.5000 0.5000
Y1 Y 0.5000 0.5000 0.0000
```

DFT formation energy: 20 meV/atom
excess energy over the best structure of this formula in the dataset: 8.4 meV/atom



# 6
Material: InPd3Pt6
Method: DFT, PBE-GGA
State: relaxed

Geometry as CIF:
```
data_InPd3Pt6
_cell_length_a 8.8891
_cell_length_b 4.0117
_cell_length_c 8.9542
_cell_angle_alpha 90.00
_cell_angle_beta 90.64
_cell_angle_gamma 90.00
_symmetry_space_group_name_H-M 'P 1 21/m 1'
_symmetry_Int_Tables_number 11
loop_
_symmetry_equiv_pos_as_xyz
'x,y,z'
'-x,-y,-z'
'-x,y+1/2,-z'
'x,-y+1/2,z'
loop_
_atom_site_label
_atom_site_type_symbol
_atom_site_fract_x
_atom_site_fract_y
_atom_site_fract_z
In1 In 0.0603 0.2500 0.3874
Pd1 Pd 0.2518 0.2500 0.9959
Pd2 Pd 0.3460 0.7500 0.8000
Pd3 Pd 0.4486 0.2500 0.6019
Pt1 Pt 0.0484 0.7500 0.9034
Pt2 Pt 0.1448 0.2500 0.6972
Pt3 Pt 0.1585 0.7500 0.1951
Pt4 Pt 0.2515 0.7500 0.5012
Pt5 Pt 0.3585 0.2500 0.2972
Pt6 Pt 0.4517 0.7500 0.0974
```

DFT formation energy: -138 meV/atom



# 7
Material: Sm2YEr5
Method: DFT, PBE-GGA
State: relaxed

Geometry as CIF:
```
data_Sm2YEr5
_cell_length_a 7.0925
_cell_length_b 14.1853
_cell_length_c 5.0081
_cell_angle_alpha 90.00
_cell_angle_beta 90.00
_cell_angle_gamma 90.00
_symmetry_space_group_name_H-M 'P b a m'
_symmetry_Int_Tables_number 55
loop_
_symmetry_equiv_pos_as_xyz
'x,y,z'
'-x,-y,-z'
'-x,-y,z'
'x,y,-z'
'x+1/2,-y+1/2,-z'
'-x+1/2,y+1/2,z'
'-x+1/2,y+1/2,-z'
'x+1/2,-y+1/2,z'
loop_
_atom_site_label
_atom_site_type_symbol
_atom_site_fract_x
_atom_site_fract_y
_atom_site_fract_z
Sm1 Sm 0.2495 0.1255 0.0000
Y1 Y 0.0000 0.5000 0.5000
Er1 Er 0.0000 0.0000 0.5000
Er2 Er 0.0003 0.2493 0.5000
Er3 Er 0.2492 0.8746 0.0000
```

DFT formation energy: 21 meV/atom



# 8
Material: KCu4Cl7
Method: DFT, PBE-GGA
State: relaxed

Geometry as CIF:
```
data_KCu4Cl7
_cell_length_a 15.6192
_cell_length_b 6.2647
_cell_length_c 6.2242
_cell_angle_alpha 90.00
_cell_angle_beta 90.00
_cell_angle_gamma 90.00
_symmetry_space_group_name_H-M 'P m n 21'
_symmetry_Int_Tables_number 31
loop_
_symmetry_equiv_pos_as_xyz
'x,y,z'
'-x+1/2,-y,z+1/2'
'-x,y,z'
'x+1/2,-y,z+1/2'
loop_
_atom_site_label
_atom_site_type_symbol
_atom_site_fract_x
_atom_site_fract_y
_atom_site_fract_z
K1 K 0.0000 0.1755 0.0000
Cu1 Cu 0.1197 0.6676 0.5389
Cu2 Cu 0.2503 0.1803 0.5152
Cl1 Cl 0.0000 0.8218 0.4044
Cl2 Cl 0.1191 0.3149 0.4531
Cl3 Cl 0.1187 0.7234 0.9025
Cl4 Cl 0.2413 0.8252 0.3917
```

energy relative to the elements, uncorrected: -0.76 eV/atom



# 9
Material: GeRhSe2
Method: DFT, PBE-GGA
State: relaxed

Geometry as CIF:
```
data_GeRhSe2
_cell_length_a 5.8546
_cell_length_b 5.8546
_cell_length_c 11.4743
_cell_angle_alpha 90.00
_cell_angle_beta 90.00
_cell_angle_gamma 90.00
_symmetry_space_group_name_H-M 'I -4 2 d'
_symmetry_Int_Tables_number 122
_symmetry_space_group_name_Hall 'I -4 2bw'
loop_
_atom_site_label
_atom_site_type_symbol
_atom_site_fract_x
_atom_site_fract_y
_atom_site_fract_z
Ge1 Ge 0.0000 0.0000 0.0000
Rh1 Rh 0.0000 0.0000 0.5000
Se1 Se 0.2202 0.2500 0.6250
```

energy relative to the elements, uncorrected: -0.03 eV/atom



# 10
Material: Sr2TiPt2
Method: DFT, PBE-GGA
State: relaxed

Geometry as CIF:
```
data_Sr2TiPt2
_cell_length_a 4.5253
_cell_length_b 4.5253
_cell_length_c 13.0012
_cell_angle_alpha 90.00
_cell_angle_beta 90.00
_cell_angle_gamma 90.00
_symmetry_space_group_name_H-M 'I 4/m m m'
_symmetry_Int_Tables_number 139
_symmetry_space_group_name_Hall '-I 4 2'
loop_
_atom_site_label
_atom_site_type_symbol
_atom_site_fract_x
_atom_site_fract_y
_atom_site_fract_z
Sr1 Sr 0.0000 0.5000 0.2500
Ti1 Ti 0.0000 0.0000 0.0000
Pt1 Pt 0.0000 0.0000 0.4025
```

DFT formation energy: 231 meV/atom
excess energy over the best structure of this formula in the dataset: 758.0 meV/atom



# 11
Material: Er4CoSb2
Method: DFT, PBE-GGA
State: relaxed

Geometry as CIF:
```
data_Er4CoSb2
_cell_length_a 11.3878
_cell_length_b 4.2878
_cell_length_c 8.5004
_cell_angle_alpha 90.00
_cell_angle_beta 120.12
_cell_angle_gamma 90.00
_symmetry_space_group_name_H-M 'C 1 2/m 1'
_symmetry_Int_Tables_number 12
loop_
_symmetry_equiv_pos_as_xyz
'x,y,z'
'-x,-y,-z'
'-x,y,-z'
'x,-y,z'
'x+1/2,y+1/2,z'
'-x+1/2,-y+1/2,-z'
'-x+1/2,y+1/2,-z'
'x+1/2,-y+1/2,z'
loop_
_atom_site_label
_atom_site_type_symbol
_atom_site_fract_x
_atom_site_fract_y
_atom_site_fract_z
Er1 Er 0.0640 0.0000 0.3434
Er2 Er 0.1590 0.5000 0.0519
Co1 Co 0.0000 0.0000 0.0000
Sb1 Sb 0.1595 0.5000 0.6633
```

energy relative to the elements, uncorrected: -0.64 eV/atom



# 12
Material: Tl3SbN
Method: DFT, PBE-GGA
State: relaxed

Geometry as CIF:
```
data_Tl3SbN
_cell_length_a 6.1681
_cell_length_b 6.1681
_cell_length_c 6.1681
_cell_angle_alpha 90.00
_cell_angle_beta 90.00
_cell_angle_gamma 90.00
_symmetry_space_group_name_H-M 'P m -3 m'
_symmetry_Int_Tables_number 221
_symmetry_space_group_name_Hall '-P 4 2 3'
loop_
_atom_site_label
_atom_site_type_symbol
_atom_site_fract_x
_atom_site_fract_y
_atom_site_fract_z
Tl1 Tl 0.0000 0.0000 0.5000
Sb1 Sb 0.0000 0.0000 0.0000
N1 N 0.5000 0.5000 0.5000
```

excess energy over the best structure of this formula in the dataset: 830.6 meV/atom
energy relative to the elements, uncorrected: 1.30 eV/atom



no.,magnetization (μB/cell)
1,3.01
2,0.00
3,4.23
4,0.00
5,0.00
6,0.00
7,0.00
8,4.10
9,0.00
10,0.23
11,0.00
12,2.29